No. 1
First-principles (GGA-PBE) data for Ho2AgF8 after structural relaxation, as listed in the Alexandria database.

POSCAR file:
```
Ho2AgF8
1.0
4.440 -0.130 -0.607
-1.124 5.479 -2.179
-0.166 -0.008 6.000
Ho Ag F
2 1 8
Cartesian
-0.464 1.700 3.454 Ho
-0.826 3.770 0.367 Ho
2.220 -0.065 -0.304 Ag
2.805 4.965 1.356 F
3.069 3.457 3.605 F
0.474 3.464 2.268 F
1.304 4.223 -0.708 F
1.846 1.118 3.922 F
2.676 1.877 0.946 F
0.081 1.884 -0.392 F
0.344 0.375 1.858 F
```

## Properties
**Uncorrected energy**: -0.4178 Ry/atom
**Total magnetic moment**: 0.96 μB per formula unit
**E_form (uncorrected)**: -3.23 eV per atom
**SG**: C2/m, No. 12

---

No. 2
First-principles (GGA-PBE) data for ZrSi3Tc after structural relaxation, as listed in the Alexandria database.

POSCAR file:
```
ZrSi3Tc
1.0
-3.978 0.324 -2.996
2.397 -2.666 -3.472
-1.826 -4.206 1.969
Si Tc Zr
3 1 1
Cartesian
1.199 -1.333 -1.736 Si
-0.913 -2.103 0.984 Si
-1.989 0.162 -1.498 Si
-1.703 -3.274 -2.249 Tc
0.000 0.000 0.000 Zr
```

## Properties
**Uncorrected energy**: -0.4097 Ry/atom
**Total magnetic moment**: 4.39 μB per formula unit
**E_form (uncorrected)**: 1.46 eV per atom
**E above lowest polymorph**: 0.950 eV per atom
**SG**: Pm-3m, No. 221

---

No. 3
First-principles (GGA-PBE) data for NiPt3W after structural relaxation, as listed in the Alexandria database.

POSCAR file:
```
NiPt3W
1.0
4.387 -0.001 0.000
0.001 5.266 0.000
0.000 0.000 6.904
Ni Pt W
2 6 2
Cartesian
3.291 3.949 2.833 Ni
1.097 1.316 4.071 Ni
3.291 3.949 0.361 Pt
1.097 1.316 6.543 Pt
3.290 0.039 4.948 Pt
3.291 2.593 4.948 Pt
1.098 5.226 1.955 Pt
1.097 2.672 1.955 Pt
3.291 1.316 1.355 W
1.098 3.949 5.549 W
```

## Properties
**Formation energy**: 0.151 eV/atom
**Uncorrected energy**: -0.5307 Ry/atom
**Total magnetic moment**: 0.00 μB per formula unit
**E above lowest polymorph**: 0.403 eV per atom
**SG**: Pmmn, No. 59

---

No. 4
First-principles (GGA-PBE) data for BiSb2Au4 after structural relaxation, as listed in the Alexandria database.

POSCAR file:
```
BiSb2Au4
1.0
-4.137 2.118 -2.947
-3.572 -3.173 2.733
-4.664 4.435 4.596
Sb Au Bi
2 4 1
Cartesian
-8.346 2.852 3.488 Sb
-4.027 0.529 0.894 Sb
-8.039 0.970 1.704 Au
-4.334 2.411 2.678 Au
-1.786 -1.587 1.367 Au
-2.069 1.059 -1.474 Au
0.000 0.000 0.000 Bi
```

## Properties
**Uncorrected energy**: -0.2345 Ry/atom
**Total magnetic moment**: 0.00 μB per formula unit
**E_form (uncorrected)**: 0.41 eV per atom
**E above lowest polymorph**: 0.393 eV per atom
**SG**: I4/mmm, No. 139

---

No. 5
First-principles (GGA-PBE) data for Sr2HBr after structural relaxation, as listed in the Alexandria database.

POSCAR file:
```
Sr2HBr
1.0
4.086 0.000 0.000
2.043 3.538 0.000
2.043 1.179 7.770
Sr Br H
2 1 1
Cartesian
2.043 1.179 1.524 Sr
6.129 3.538 6.246 Sr
4.086 2.359 3.885 Br
0.000 0.000 0.000 H
```

## Properties
**Uncorrected energy**: -0.2120 Ry/atom
**Total magnetic moment**: 0.00 μB per formula unit
**E above lowest polymorph**: 0.000 eV per atom
**SG**: R-3m, No. 166

---

No. 6
First-principles (GGA-PBE) data for Li5Zn2Ga12 after structural relaxation, as listed in the Alexandria database.

POSCAR file:
```
Li5Zn2Ga12
1.0
-2.801 5.252 -2.392
-7.296 -3.439 0.994
-3.982 0.669 6.309
Li Zn Ga
5 2 12
Cartesian
-9.088 0.796 2.492 Li
-7.607 -1.710 4.693 Li
-1.401 2.626 -1.196 Li
-6.472 4.193 0.219 Li
-4.991 1.687 2.420 Li
-5.282 -2.490 0.720 Zn
-2.013 -0.949 0.274 Zn
-4.131 0.571 4.873 Ga
-7.345 3.124 2.800 Ga
-11.855 0.998 3.414 Ga
-6.814 0.954 4.310 Ga
-10.200 -0.642 4.771 Ga
-9.556 2.428 4.699 Ga
-4.523 0.055 0.213 Ga
-7.265 1.528 0.602 Ga
-3.879 3.124 0.140 Ga
-6.734 -0.642 2.112 Ga
-2.223 1.484 1.497 Ga
-9.948 1.912 0.038 Ga
```

## Properties
**Formation energy**: -0.146 eV/atom
**Uncorrected energy**: -0.1981 Ry/atom
**Total magnetic moment**: 0.00 μB per formula unit
**E above lowest polymorph**: 0.000 eV per atom
**SG**: C2/m, No. 12

---

No. 7
First-principles (GGA-PBE) data for GdPuCu2 after structural relaxation, as listed in the Alexandria database.

POSCAR file:
```
GdPuCu2
1.0
-1.611 -1.085 -2.734
-0.310 -4.596 2.007
-4.395 1.217 2.108
Gd Cu Pu
1 2 1
Cartesian
-0.806 -0.542 -1.367 Gd
-2.198 0.609 1.054 Cu
-0.155 -2.298 1.003 Cu
-3.159 -2.232 0.690 Pu
```

## Properties
**Formation energy**: -0.046 eV/atom
**Uncorrected energy**: -0.6760 Ry/atom
**Total magnetic moment**: 1.61 μB per formula unit
**E above lowest polymorph**: 0.000 eV per atom
**SG**: P4/mmm, No. 123

---

No. 8
First-principles (GGA-PBE) data for GaHgAs3 after structural relaxation, as listed in the Alexandria database.

POSCAR file:
```
GaHgAs3
1.0
-1.068 3.340 -3.926
-4.449 -2.622 -1.020
-2.603 3.111 3.355
As Hg Ga
3 1 1
Cartesian
-2.225 -1.311 -0.510 As
-1.301 1.556 1.677 As
-0.534 1.670 -1.963 As
0.000 0.000 0.000 Hg
-4.060 1.915 -0.796 Ga
```

## Properties
**Formation energy**: 0.982 eV/atom
**Uncorrected energy**: -0.1818 Ry/atom
**Total magnetic moment**: 0.00 μB per formula unit
**E above lowest polymorph**: 0.278 eV per atom
**SG**: Pm-3m, No. 221

---

Among the records above, which one has the lowest uncorrected energy? GdPuCu2